1.
Ba2TlAg2: optimized geometry, PBEsol.

Lattice parameters (Å, degrees): 8.718 8.718 4.511 90.00 90.00 90.00
Positions (direct):
Ba 0.183 0.317 0.000
Ba 0.317 0.817 0.000
Ba 0.683 0.183 0.000
Ba 0.817 0.683 0.000
Tl 0.000 0.000 0.500
Tl 0.500 0.500 0.500
Ag 0.115 0.615 0.500
Ag 0.385 0.115 0.500
Ag 0.615 0.885 0.500
Ag 0.885 0.385 0.500



2.
BaTlAg: optimized geometry, PBEsol.

Lattice parameters (Å, degrees): 3.920 3.920 11.458 90.00 90.00 90.00
Positions (direct):
Ba 0.000 0.000 0.000
Ba 0.500 0.500 0.500
Tl 0.000 0.000 0.300
Tl 0.500 0.500 0.800
Ag 0.000 0.000 0.693
Ag 0.500 0.500 0.193

Computed properties:
Relative energy among the computed polymorphs ... 103 meV/atom



3.
BaTlAg: optimized geometry, PBEsol.

Lattice parameters (Å, degrees): 4.986 4.986 4.289 90.00 90.00 120.00
Positions (direct):
Ba 0.000 0.000 0.000
Tl 0.333 0.667 0.500
Ag 0.667 0.333 0.500

Computed properties:
Relative energy among the computed polymorphs ... 0 meV/atom



4.
BaAgW2: optimized geometry, PBEsol.

Lattice parameters (Å, degrees): 3.307 3.237 8.156 90.00 91.11 90.00
Positions (direct):
Ba 0.000 0.000 0.000
Ag 0.489 0.500 0.688
W 0.507 0.500 0.323
W 0.975 0.000 0.470



Going through the records in order, we get mass density values of 6.7; 8.5; 8.1; 11.7 g cm⁻³.
Going through the records in order, we get formation energy from the elements values of -0.2467; -0.1907; -0.2938; 0.6850 eV per atom.